! TaZn4Hg, optimized geometry, DFT PBEsol; values from VASP
! * energy of formation: 271.3 meV per atom
! * density: 11.6 g/cm³
! * final energy: -2.970 eV/atom
&SYSTEM
  ibrav = 0, nat = 6, ntyp = 3
/
ATOMIC_SPECIES
Ta 180.95 Ta.upf
Zn 65.41 Zn.upf
Hg 200.59 Hg.upf
CELL_PARAMETERS angstrom
0.0000 3.5854 3.5854
3.5854 0.0000 3.5854
3.5854 3.5854 0.0000
ATOMIC_POSITIONS crystal
Ta 0.0000 0.0000 0.0000
Zn 0.3733 0.3733 0.3733
Zn 0.3733 0.3733 0.8801
Zn 0.3733 0.8801 0.3733
Zn 0.8801 0.3733 0.3733
Hg 0.7500 0.7500 0.7500